Record 1
Computed, not measured: a relaxed TcSb2Os crystal at the PBE level of DFT.

Summary:
Final energy in eV/cell: -84.19
Magnetization in μB/cell: 0.00
Excess energy over the best structure of this formula in the dataset in eV/atom: 0.241
Crystal system: trigonal
Energy relative to the elements, uncorrected in eV per atom: 0.444

a = 3.1829 Å, b = 3.1829 Å, c = 24.7160 Å
α = 90.00°, β = 90.00°, γ = 120.00°
Last column: nearest neighbours and their distance in Å.
Space group R-3m (No. 166, hexagonal axes)
One atom of each set of equivalent atoms:
Tc: 0.0000 0.0000 0.0000 x3  6 Sb 2.76
Sb: 0.0000 0.0000 0.2502 x6  3 Tc 2.76, 3 Os 2.76
Os: 0.0000 0.0000 0.5000 x3  6 Sb 2.76



Record 2
Computed, not measured: a relaxed Tc2SbOs crystal at the PBE level of DFT.

Summary:
Final energy in eV/cell: -69.52
Magnetization in μB/cell: 0.00
Crystal system: monoclinic
Energy relative to the elements, uncorrected in eV per atom: 0.331

a = 9.2381 Å, b = 2.9390 Å, c = 4.7864 Å
α = 90.00°, β = 98.60°, γ = 90.00°
Last column: nearest neighbours and their distance in Å.
Space group C2/m (No. 12)
One atom of each set of equivalent atoms:
Tc: 0.2387 0.0000 0.2254 x4  4 Tc 2.64-2.94, 3 Sb 2.73-2.96, 3 Os 2.73-2.79
Sb: 0.0000 0.0000 0.5000 x2  6 Tc 2.73-2.96, 4 Os 2.81, 2 Sb 2.94
Os: 0.0000 0.5000 0.0000 x2  6 Tc 2.73-2.79, 4 Sb 2.81, 2 Os 2.94



Record 3
Computed, not measured: a relaxed TcSb2Os crystal at the PBE level of DFT.

Summary:
Final energy in eV/cell: -26.75
Magnetization in μB/cell: 0.00
Excess energy over the best structure of this formula in the dataset in eV/atom: 0.569
Crystal system: orthorhombic
Energy relative to the elements, uncorrected in eV per atom: 0.772

a = 3.2432 Å, b = 4.2608 Å, c = 5.4662 Å
α = 90.00°, β = 90.00°, γ = 90.00°
Last column: nearest neighbours and their distance in Å.
Space group Pmmm (No. 47)
One atom of each set of equivalent atoms:
Tc: 0.0000 0.0000 0.0000 x1  4 Sb 2.68
Sb: 0.0000 0.5000 0.5000 x1  4 Os 2.68
Sb: 0.5000 0.5000 0.0000 x1  4 Tc 2.68
Os: 0.5000 0.0000 0.5000 x1  4 Sb 2.68



Record 4
Computed, not measured: a relaxed TcSb2Os crystal at the PBE level of DFT.

Summary:
Final energy in eV/cell: -56.28
Magnetization in μB/cell: 0.00
Excess energy over the best structure of this formula in the dataset in eV/atom: 0.222
Crystal system: monoclinic
Energy relative to the elements, uncorrected in eV per atom: 0.425

a = 8.4725 Å, b = 3.1704 Å, c = 5.4967 Å
α = 90.00°, β = 102.25°, γ = 90.00°
Last column: nearest neighbours and their distance in Å.
Space group C2/m (No. 12)
One atom of each set of equivalent atoms:
Tc: 0.0000 0.0000 0.0000 x2  6 Sb 2.75-2.76
Sb: 0.2503 0.0000 0.7519 x4  3 Tc 2.75-2.76, 3 Os 2.76-2.77
Os: 0.0000 0.5000 0.5000 x2  6 Sb 2.76-2.77



Record 5
Computed, not measured: a relaxed Tc2SbOs crystal at the PBE level of DFT.

Summary:
Final energy in eV/cell: -69.33
Magnetization in μB/cell: 0.00
Crystal system: tetragonal
Energy relative to the elements, uncorrected in eV per atom: 0.355

a = 3.9706 Å, b = 3.9706 Å, c = 8.0058 Å
α = 90.00°, β = 90.00°, γ = 90.00°
Last column: nearest neighbours and their distance in Å.
Space group I-4m2 (No. 119)
One atom of each set of equivalent atoms:
Tc: 0.0000 0.0000 0.0000 x2  4 Sb 2.81, 4 Tc 2.82, 4 Os 2.82
Tc: 0.0000 0.5000 0.2500 x2  4 Os 2.81, 4 Tc 2.82, 4 Sb 2.82
Sb: 0.0000 0.0000 0.5000 x2  8 Tc 2.81-2.82, 4 Os 2.82
Os: 0.0000 0.5000 0.7500 x2  8 Tc 2.81-2.82, 4 Sb 2.82



Record 6
Computed, not measured: a relaxed Tc2SbOs crystal at the PBE level of DFT.

Summary:
Final energy in eV/cell: -33.99
Magnetization in μB/cell: 2.56
Crystal system: tetragonal
Energy relative to the elements, uncorrected in eV per atom: 0.523

a = 3.9577 Å, b = 3.9577 Å, c = 4.1186 Å
α = 90.00°, β = 90.00°, γ = 90.00°
Last column: nearest neighbours and their distance in Å.
Space group P4/mmm (No. 123)
One atom of each set of equivalent atoms:
Tc: 0.0000 0.5000 0.0000 x2  4 Tc 2.80, 4 Sb 2.86, 4 Os 2.86
Sb: 0.0000 0.0000 0.5000 x1  4 Os 2.80, 8 Tc 2.86
Os: 0.5000 0.5000 0.5000 x1  4 Sb 2.80, 8 Tc 2.86



Record 7
Computed, not measured: a relaxed TcSb2Os crystal at the PBE level of DFT.

Summary:
Final energy in eV/cell: -113.57
Magnetization in μB/cell: 0.00
Excess energy over the best structure of this formula in the dataset in eV/atom: 0.159
Crystal system: cubic
Energy relative to the elements, uncorrected in eV per atom: 0.362

a = 6.5453 Å, b = 6.5453 Å, c = 6.5453 Å
α = 90.00°, β = 90.00°, γ = 90.00°
Last column: nearest neighbours and their distance in Å.
Space group Fm-3m (No. 225)
One atom of each set of equivalent atoms:
Tc: 0.0000 0.0000 0.0000 x4  8 Sb 2.83
Sb: 0.2500 0.2500 0.2500 x8  4 Tc 2.83, 4 Os 2.83
Os: 0.0000 0.0000 0.5000 x4  8 Sb 2.83



Record 8
Computed, not measured: a relaxed Tc2SbOs crystal at the PBE level of DFT.

Summary:
Final energy in eV/cell: -69.47
Magnetization in μB/cell: 0.00
Crystal system: orthorhombic
Energy relative to the elements, uncorrected in eV per atom: 0.337

a = 4.1535 Å, b = 2.8804 Å, c = 10.7964 Å
α = 90.00°, β = 90.00°, γ = 90.00°
Last column: nearest neighbours and their distance in Å.
Space group Amm2 (No. 38)
One atom of each set of equivalent atoms:
Tc: 0.0000 0.0000 0.0000 x2  1 Sb 2.70, 4 Os 2.73, 6 Tc 2.88-2.96
Tc: 0.5000 0.0000 0.3581 x2  1 Os 2.57, 4 Sb 2.78
Sb: 0.0000 0.0000 0.7503 x2  2 Os 2.66, 5 Tc 2.70-2.78, 2 Sb 2.88
Os: 0.5000 0.0000 0.5960 x2  5 Tc 2.57-2.73, 2 Sb 2.66



Record 9
Computed, not measured: a relaxed TcSb2Os crystal at the PBE level of DFT.

Summary:
Final energy in eV/cell: -55.27
Magnetization in μB/cell: 0.00
Excess energy over the best structure of this formula in the dataset in eV/atom: 0.348
Crystal system: orthorhombic
Energy relative to the elements, uncorrected in eV per atom: 0.551

a = 3.2350 Å, b = 4.4385 Å, c = 10.2975 Å
α = 90.00°, β = 90.00°, γ = 90.00°
Last column: nearest neighbours and their distance in Å.
Space group Imm2 (No. 44)
One atom of each set of equivalent atoms:
Tc: 0.0000 0.0000 0.0000 x2  6 Sb 2.75-2.82
Sb: 0.0000 0.0000 0.4990 x2  4 Tc 2.75, 2 Os 2.79
Sb: 0.0000 0.5000 0.7246 x2  4 Os 2.75, 2 Tc 2.82
Os: 0.0000 0.5000 0.2193 x2  6 Sb 2.75-2.79



Record 10
Computed, not measured: a relaxed Tc2SbOs crystal at the PBE level of DFT.

Summary:
Final energy in eV/cell: -34.68
Magnetization in μB/cell: 0.00
Crystal system: tetragonal
Energy relative to the elements, uncorrected in eV per atom: 0.350

a = 2.9931 Å, b = 2.9931 Å, c = 7.1404 Å
α = 90.00°, β = 90.00°, γ = 90.00°
Last column: nearest neighbours and their distance in Å.
Space group P4mm (No. 99)
One atom of each set of equivalent atoms:
Tc: 0.0000 0.0000 0.0000 x1  8 Tc 2.70-2.99, 4 Sb 2.83
Tc: 0.5000 0.5000 0.2351 x1  8 Tc 2.70-2.99, 4 Os 2.73
Sb: 0.5000 0.5000 0.7375 x1  4 Os 2.82, 4 Tc 2.83, 4 Sb 2.99
Os: 0.0000 0.0000 0.4772 x1  4 Tc 2.73, 4 Sb 2.82, 4 Os 2.99



Record 11
Computed, not measured: a relaxed Tc2SbOs crystal at the PBE level of DFT.

Summary:
Final energy in eV/cell: -34.51
Magnetization in μB/cell: 0.00
Crystal system: tetragonal
Energy relative to the elements, uncorrected in eV per atom: 0.394

a = 4.5742 Å, b = 4.5742 Å, c = 3.0427 Å
α = 90.00°, β = 90.00°, γ = 90.00°
Last column: nearest neighbours and their distance in Å.
Space group P4/mmm (No. 123)
One atom of each set of equivalent atoms:
Tc: 0.0000 0.5000 0.0000 x2  4 Sb 2.75, 4 Os 2.75, 2 Tc 3.04
Sb: 0.0000 0.0000 0.5000 x1  8 Tc 2.75, 2 Sb 3.04
Os: 0.5000 0.5000 0.5000 x1  8 Tc 2.75, 2 Os 3.04



Record 12
Computed, not measured: a relaxed TcSb2Os crystal at the PBE level of DFT.

Summary:
Final energy in eV/cell: -28.37
Magnetization in μB/cell: 0.00
Excess energy over the best structure of this formula in the dataset in eV/atom: 0.165
Crystal system: tetragonal
Energy relative to the elements, uncorrected in eV per atom: 0.367

a = 3.2803 Å, b = 3.2803 Å, c = 6.5148 Å
α = 90.00°, β = 90.00°, γ = 90.00°
Last column: nearest neighbours and their distance in Å.
Space group P4/mmm (No. 123)
One atom of each set of equivalent atoms:
Tc: 0.0000 0.0000 0.0000 x1  8 Sb 2.82
Sb: 0.5000 0.5000 0.2460 x2  4 Tc 2.82, 4 Os 2.85
Os: 0.0000 0.0000 0.5000 x1  8 Sb 2.85



Record 13
Computed, not measured: a relaxed Tc2SbOs crystal at the PBE level of DFT.

Summary:
Final energy in eV/cell: -69.54
Magnetization in μB/cell: 0.00
Crystal system: tetragonal
Energy relative to the elements, uncorrected in eV per atom: 0.328

a = 3.9206 Å, b = 3.9206 Å, c = 8.2035 Å
α = 90.00°, β = 90.00°, γ = 90.00°
Last column: nearest neighbours and their distance in Å.
Space group I4/mmm (No. 139)
One atom of each set of equivalent atoms:
Tc: 0.0000 0.5000 0.2500 x4  4 Tc 2.77, 4 Sb 2.84, 4 Os 2.84
Sb: 0.0000 0.0000 0.0000 x2  4 Os 2.77, 8 Tc 2.84
Os: 0.0000 0.0000 0.5000 x2  4 Sb 2.77, 8 Tc 2.84



Record 14
Computed, not measured: a relaxed Tc2SbOs crystal at the PBE level of DFT.

Summary:
Final energy in eV/cell: -34.68
Magnetization in μB/cell: 0.00
Crystal system: monoclinic
Energy relative to the elements, uncorrected in eV per atom: 0.351

a = 2.8733 Å, b = 4.0113 Å, c = 5.6771 Å
α = 90.00°, β = 97.64°, γ = 90.00°
Last column: nearest neighbours and their distance in Å.
Space group P2/m (No. 10)
One atom of each set of equivalent atoms:
Tc: 0.0615 0.0000 0.2246 x2  1 Tc 2.53, 2 Sb 2.74, 4 Os 2.77-2.78
Sb: 0.5000 0.5000 0.5000 x1  4 Tc 2.74, 2 Os 2.84, 2 Sb 2.87
Os: 0.5000 0.5000 0.0000 x1  8 Tc 2.77-2.78, 2 Sb 2.84, 2 Os 2.87



Record 15
Computed, not measured: a relaxed TcSb2Os crystal at the PBE level of DFT.

Summary:
Final energy in eV/cell: -53.45
Magnetization in μB/cell: 0.00
Excess energy over the best structure of this formula in the dataset in eV/atom: 0.576
Crystal system: orthorhombic
Energy relative to the elements, uncorrected in eV per atom: 0.779

a = 3.2342 Å, b = 5.4614 Å, c = 8.5434 Å
α = 90.00°, β = 90.00°, γ = 90.00°
Last column: nearest neighbours and their distance in Å.
Space group Cmmm (No. 65)
One atom of each set of equivalent atoms:
Tc: 0.0000 0.0000 0.0000 x2  4 Sb 2.67
Sb: 0.0000 0.5000 0.2493 x4  2 Tc 2.67, 2 Os 2.68
Os: 0.0000 0.0000 0.5000 x2  4 Sb 2.68